Below is a relaxed structure of EuDyBr2, with properties calculated at the PBE-GGA level.

Geometry as POSCAR:
```
EuDyBr2
1.0
-3.128 -0.493 -2.053
-2.670 -2.395 1.174
-6.529 6.691 4.871
Eu Br Dy
1 2 1
Direct
0.000 0.000 0.000
0.101 0.101 0.697
0.899 0.899 0.303
0.500 0.500 0.500
```

Properties
**Fermi-level density of states**: 0.595 states/eV/atom
**Crystal system**: trigonal
**Energy relative to the elements, uncorrected**: -1.092 eV per atom